PrYO: relaxed, PBE.

The structure belongs to space group Pbcm (No. 57); the cell edges are 7.3091, 6.2072 and 5.9132 Å and the angles 90.00°, 90.00° and 90.00°. Symmetry generates all atoms from Pr at (0.0986, 0.1300, 0.2500), Y at (0.3977, 0.5565, 0.2500) and O at (0.4208, 0.2500, 0.0000).

For the polymorph energy (0 for the lowest one), the calculation gives 0.000 eV/atom.

=====

PrYO2: relaxed, PBE.

The structure belongs to space group R3m (No. 160, hexagonal axes); the cell edges are 3.4748, 3.4748 and 18.2815 Å and the angles 90.00°, 90.00° and 120.00°. Symmetry generates all atoms from Pr at (0.0000, 0.0000, 0.0000), Y at (0.0000, 0.0000, 0.1771), O at (0.0000, 0.0000, 0.5743) and O at (0.0000, 0.0000, 0.7695).

For the polymorph energy (0 for the lowest one), the calculation gives 0.139 eV/atom.

=====

Pr2YO: relaxed, PBE.

The structure belongs to space group P4/mmm (No. 123); the cell edges are 3.2873, 3.2873 and 9.2150 Å and the angles 90.00°, 90.00° and 90.00°. Symmetry generates all atoms from Pr at (0.0000, 0.0000, 0.1706), Y at (0.5000, 0.5000, 0.5000) and O at (0.5000, 0.5000, 0.0000).

For the polymorph energy (0 for the lowest one), the calculation gives 0.307 eV/atom.

=====

PrYO2: relaxed, PBE.

The structure belongs to space group R-3m (No. 166, hexagonal axes); the cell edges are 3.4659, 3.4659 and 17.9073 Å and the angles 90.00°, 90.00° and 120.00°. Symmetry generates all atoms from Pr at (0.0000, 0.0000, 0.0000), Y at (0.0000, 0.0000, 0.5000) and O at (0.0000, 0.0000, 0.2345).

For the polymorph energy (0 for the lowest one), the calculation gives 0.000 eV/atom.

=====

Pr3Y5O12: relaxed, PBE.

The structure belongs to space group Ia-3d (No. 230); the cell edges are 13.7497, 13.7497 and 13.7497 Å and the angles 90.00°, 90.00° and 90.00°. Symmetry generates all atoms from Pr at (0.0000, 0.2500, 0.1250), Y at (0.0000, 0.0000, 0.0000), Y at (0.0000, 0.2500, 0.3750) and O at (0.0225, 0.0630, 0.6525).

The calculation puts the raw total energy at -8.622 eV per atom.

=====

Pr6Zn3O: relaxed, PBE.

The structure belongs to space group P2_1/c (No. 14); the cell edges are 6.7115, 8.1174 and 11.3706 Å and the angles 90.00°, 118.76° and 90.00°. Symmetry generates all atoms from Pr at (0.0766, 0.0524, 0.2347), Pr at (0.1896, 0.7162, 0.0661), Pr at (0.3816, 0.1522, 0.0540), Zn at (0.3215, 0.1150, 0.7433), Zn at (0.5000, 0.0000, 0.5000) and O at (0.0000, 0.0000, 0.0000).

The calculation puts the raw total energy at -4.375 eV per atom.

=====

PrZnO: relaxed, PBE.

The structure belongs to space group P4/nmm (No. 129, origin choice 2); the cell edges are 3.4305, 3.4305 and 9.1772 Å and the angles 90.00°, 90.00° and 90.00°. Symmetry generates all atoms from Pr at (0.2500, 0.2500, 0.1656), Zn at (0.2500, 0.2500, 0.5507) and O at (0.2500, 0.2500, 0.8990).

The calculation puts the raw total energy at -5.468 eV per atom.

=====

Pr4Zn2O: relaxed, PBE.

The structure belongs to space group I4/mmm (No. 139); the cell edges are 4.9820, 4.9820 and 14.7564 Å and the angles 90.00°, 90.00° and 90.00°. Symmetry generates all atoms from Pr at (0.0000, 0.0000, 0.1820), Pr at (0.0000, 0.5000, 0.0000), Zn at (0.0000, 0.0000, 0.3791) and O at (0.0000, 0.0000, 0.0000).

The calculation puts the raw total energy at -4.700 eV per atom.

=====

Pr3Zn5O12: relaxed, PBE.

The structure belongs to space group Ia-3d (No. 230); the cell edges are 12.8680, 12.8680 and 12.8680 Å and the angles 90.00°, 90.00° and 90.00°. Symmetry generates all atoms from Pr at (0.0000, 0.2500, 0.1250), Zn at (0.0000, 0.0000, 0.0000), Zn at (0.0000, 0.2500, 0.3750) and O at (0.0263, 0.0563, 0.6495).

The calculation puts the raw total energy at -5.772 eV per atom.

=====

Pr3Zn2O6: relaxed, PBE.

The structure belongs to space group I4/mmm (No. 139); the cell edges are 3.9825, 3.9825 and 19.3548 Å and the angles 90.00°, 90.00° and 90.00°. Symmetry generates all atoms from Pr at (0.0000, 0.0000, 0.0000), Pr at (0.0000, 0.0000, 0.1764), Zn at (0.0000, 0.0000, 0.4099), O at (0.0000, 0.0000, 0.2944) and O at (0.0000, 0.5000, 0.0892).

The calculation puts the raw total energy at -6.641 eV per atom.

=====

Pr6Zn2O: relaxed, PBE.

The structure belongs to space group P2_1/c (No. 14); the cell edges are 6.6695, 7.2125 and 12.3667 Å and the angles 90.00°, 122.03° and 90.00°. Symmetry generates all atoms from Pr at (0.1192, 0.0163, 0.2401), Pr at (0.2261, 0.7001, 0.0471), Pr at (0.3624, 0.1889, 0.0458), Zn at (0.3207, 0.0904, 0.7503) and O at (0.0000, 0.0000, 0.0000).

The calculation puts the raw total energy at -4.693 eV per atom.

=====

Pr3ZnO5: relaxed, PBE.

The structure belongs to space group I4/mcm (No. 140); the cell edges are 6.5630, 6.5630 and 12.0370 Å and the angles 90.00°, 90.00° and 90.00°. Symmetry generates all atoms from Pr at (0.0000, 0.0000, 0.2500), Pr at (0.1688, 0.3312, 0.0000), Zn at (0.0000, 0.5000, 0.2500), O at (0.0000, 0.0000, 0.0000) and O at (0.1639, 0.3361, 0.3517).

The calculation puts the raw total energy at -7.047 eV per atom.